# 1
Entry from the Alexandria database: a relaxed structure of KTlSe2 (PBE).

- Symmetry: P2/m, No. 10
- E_form (uncorrected): -582 meV/atom

a b c (Å): 4.3890 4.8432 11.7748
angles (deg): 35.04 90.00 90.00
Last column: nearest neighbours and their distance in Å.
Atoms (fractional coordinates):
Tl (0.5000, 0.2500, 0.2500)  4 Se 3.06
K (0.5000, 0.7500, 0.7500)  8 Se 3.49-3.50
Se (0.0000, 0.6186, 0.5655)  1 Se 2.49
Se (0.0000, 0.8814, 0.9345)  1 Se 2.49


# 2
Entry from the Alexandria database: a relaxed structure of K3Tl5Se12 (PBE).

- Symmetry: Ia-3d, No. 230
- E_form (uncorrected): -350 meV/atom

a b c (Å): 15.9174 15.9174 15.9174
angles (deg): 109.47 109.47 109.47
Last column: nearest neighbours and their distance in Å.
Atoms (fractional coordinates):
Se (0.5199, 0.2183, 0.0596)  1 Se 2.38
Se (0.6984, 0.4801, 0.5398)  1 Se 2.38
Se (0.7183, 0.0596, 0.0199)  1 Se 2.38
Se (0.8414, 0.0398, 0.5596)  1 Se 2.38
Se (0.3414, 0.2817, 0.3016)  1 Se 2.38
Se (0.2183, 0.6984, 0.1586)  1 Se 2.38
Se (0.6586, 0.9404, 0.4602)  1 Se 2.38
Se (0.2183, 0.5199, 0.5596)  1 Se 2.38
Se (0.9602, 0.1586, 0.9404)  1 Se 2.38
Se (0.8414, 0.8016, 0.7817)  1 Se 2.38
Se (0.7183, 0.6586, 0.1984)  1 Se 2.38
Se (0.4404, 0.9801, 0.7817)  1 Se 2.38
Se (0.1586, 0.1984, 0.2183)  1 Se 2.38
Se (0.4602, 0.0199, 0.3016)  1 Se 2.38
Se (0.1984, 0.0398, 0.9801)  1 Se 2.38
Se (0.3016, 0.7817, 0.3414)  1 Se 2.38
Se (0.0199, 0.4602, 0.8016)  1 Se 2.38
Se (0.4404, 0.4602, 0.1586)  1 Se 2.38
Se (0.4801, 0.6984, 0.0398)  1 Se 2.38
Se (0.0199, 0.5596, 0.7183)  1 Se 2.38
Se (0.6984, 0.2183, 0.6586)  1 Se 2.38
Se (0.9404, 0.6586, 0.9602)  1 Se 2.38
Se (0.4801, 0.7817, 0.9404)  1 Se 2.38
Se (0.8016, 0.9602, 0.0199)  1 Se 2.38
Se (0.4602, 0.4404, 0.6586)  1 Se 2.38
Se (0.2817, 0.3414, 0.8016)  1 Se 2.38
Se (0.9602, 0.8016, 0.5199)  1 Se 2.38
Se (0.8016, 0.8414, 0.2817)  1 Se 2.38
Se (0.0398, 0.8414, 0.0596)  1 Se 2.38
Se (0.1984, 0.1586, 0.7183)  1 Se 2.38
Se (0.7817, 0.4801, 0.4404)  1 Se 2.38
Se (0.1586, 0.9602, 0.4404)  1 Se 2.38
Se (0.9801, 0.4404, 0.2817)  1 Se 2.38
Se (0.5596, 0.0199, 0.2183)  1 Se 2.38
Se (0.0398, 0.1984, 0.4801)  1 Se 2.38
Se (0.5398, 0.9801, 0.6984)  1 Se 2.38
Se (0.3016, 0.5199, 0.4602)  1 Se 2.38
Se (0.5199, 0.3016, 0.9602)  1 Se 2.38
Se (0.3414, 0.0596, 0.5398)  1 Se 2.38
Se (0.5398, 0.5596, 0.3414)  1 Se 2.38
Se (0.0596, 0.7183, 0.5199)  1 Se 2.38
Se (0.9404, 0.2817, 0.4801)  1 Se 2.38
Se (0.7817, 0.3016, 0.8414)  1 Se 2.38
Se (0.5596, 0.5398, 0.8414)  1 Se 2.38
Se (0.9801, 0.5398, 0.1984)  1 Se 2.38
Se (0.6586, 0.7183, 0.6984)  1 Se 2.38
Se (0.0596, 0.3414, 0.0398)  1 Se 2.38
Se (0.2817, 0.9404, 0.9801)  1 Se 2.38
K (0.2500, 0.1250, 0.3750)  4 Se 3.22
K (0.8750, 0.7500, 0.1250)  4 Se 3.22
K (0.7500, 0.8750, 0.6250)  4 Se 3.22
K (0.8750, 0.1250, 0.2500)  4 Se 3.22
K (0.1250, 0.2500, 0.8750)  4 Se 3.22
K (0.1250, 0.8750, 0.7500)  4 Se 3.22
K (0.2500, 0.6250, 0.8750)  4 Se 3.22
K (0.3750, 0.6250, 0.2500)  4 Se 3.22
K (0.6250, 0.3750, 0.7500)  4 Se 3.22
K (0.6250, 0.2500, 0.3750)  4 Se 3.22
K (0.7500, 0.3750, 0.1250)  4 Se 3.22
K (0.3750, 0.7500, 0.6250)  4 Se 3.22
Tl (0.7500, 0.1250, 0.8750)  4 Se 2.95
Tl (0.1250, 0.7500, 0.3750)  4 Se 2.95
Tl (0.6250, 0.7500, 0.8750)  4 Se 2.95
Tl (0.6250, 0.8750, 0.2500)  4 Se 2.95
Tl (0.0000, 0.5000, 0.0000)  6 Se 3.15
Tl (0.0000, 0.0000, 0.0000)  6 Se 3.15
Tl (0.5000, 0.0000, 0.5000)  6 Se 3.15
Tl (0.0000, 0.5000, 0.5000)  6 Se 3.15
Tl (0.3750, 0.2500, 0.1250)  4 Se 2.95
Tl (0.5000, 0.0000, 0.0000)  6 Se 3.15
Tl (0.2500, 0.3750, 0.6250)  4 Se 2.95
Tl (0.8750, 0.6250, 0.7500)  4 Se 2.95
Tl (0.7500, 0.6250, 0.3750)  4 Se 2.95
Tl (0.0000, 0.0000, 0.5000)  6 Se 3.15
Tl (0.5000, 0.5000, 0.0000)  6 Se 3.15
Tl (0.2500, 0.8750, 0.1250)  4 Se 2.95
Tl (0.8750, 0.2500, 0.6250)  4 Se 2.95
Tl (0.3750, 0.1250, 0.7500)  4 Se 2.95
Tl (0.1250, 0.3750, 0.2500)  4 Se 2.95
Tl (0.5000, 0.5000, 0.5000)  6 Se 3.15


# 3
Entry from the Alexandria database: a relaxed structure of KTl2Se (PBE).

- Symmetry: Fm-3m, No. 225
- E_form (uncorrected): -258 meV/atom

a b c (Å): 5.6379 5.6379 5.6379
angles (deg): 60.00 60.00 60.00
Last column: nearest neighbours and their distance in Å.
Atoms (fractional coordinates):
Tl (0.7500, 0.7500, 0.7500)  4 Se 3.45, 4 K 3.45
Tl (0.2500, 0.2500, 0.2500)  4 Se 3.45, 4 K 3.45
K (0.0000, 0.0000, 0.0000)  8 Tl 3.45
Se (0.5000, 0.5000, 0.5000)  8 Tl 3.45


# 4
Entry from the Alexandria database: a relaxed structure of KTlSe3 (PBE).

- Symmetry: P1, No. 1
- E_form (uncorrected): -498 meV/atom

a b c (Å): 7.3240 6.3836 9.6758
angles (deg): 93.53 73.08 54.30
Last column: nearest neighbours and their distance in Å.
Atoms (fractional coordinates):
Tl (0.5061, 0.8782, 0.1209)  6 Se 3.23-3.49
Tl (0.6887, 0.9297, 0.7293)  4 Se 3.08-3.28
Se (0.0747, 0.5231, 0.3515)  2 Se 2.41-2.44
Se (0.6270, 0.4747, 0.8025)  1 Se 2.40
Se (0.6479, 0.8784, 0.4073)  1 Se 2.41
Se (0.0598, 0.2497, 0.6998)  2 Se 2.40-2.48
Se (0.3313, 0.5080, 0.1177)  1 Se 2.44
Se (0.1360, 0.4095, 0.9005)  1 Se 2.48
K (0.9557, 0.0480, 0.0123)  7 Se 3.36-3.74
K (0.4159, 0.5436, 0.5292)  5 Se 3.36-3.56


# 5
Entry from the Alexandria database: a relaxed structure of KTlSe2 (PBE).

- Symmetry: Imm2, No. 44
- E_form (uncorrected): -358 meV/atom

a b c (Å): 6.6265 6.6265 6.6265
angles (deg): 147.59 131.69 59.38
Last column: nearest neighbours and their distance in Å.
Atoms (fractional coordinates):
K (0.7503, 0.2503, 0.5000)  6 Se 3.28-3.58, 2 Tl 3.66
Se (0.2398, 0.7398, 0.5000)  2 Se 2.89, 2 Tl 3.17
Se (0.0466, 0.0466, 0.0000)  2 Se 2.89
Tl (0.4633, 0.4633, 0.0000)  6 Se 3.17-3.42


# 6
Entry from the Alexandria database: a relaxed structure of KTl2Se6 (PBE).

- Symmetry: Immm, No. 71
- E_form (uncorrected): -254 meV/atom

a b c (Å): 4.1249 9.8198 8.9200
angles (deg): 123.40 103.37 90.00
Last column: nearest neighbours and their distance in Å.
Atoms (fractional coordinates):
Se (0.3539, 0.5754, 0.7079)  1 Se 2.37
Se (0.5000, 0.1655, 0.0000)  2 Se 2.37
Se (0.6461, 0.8676, 0.2921)  1 Se 2.37
Se (0.6461, 0.4246, 0.2921)  1 Se 2.37
Se (0.3539, 0.1324, 0.7079)  1 Se 2.37
Se (0.5000, 0.8345, 0.0000)  2 Se 2.37
K (0.0000, 0.5000, 0.0000)  12 Se 3.65-3.88
Tl (0.8241, 0.8241, 0.6482)  10 Se 3.35-3.64
Tl (0.1759, 0.1759, 0.3518)  10 Se 3.35-3.64


# 7
Entry from the Alexandria database: a relaxed structure of KTl2Se3 (PBE).

- Symmetry: C2/m, No. 12
- E_form (uncorrected): -448 meV/atom

a b c (Å): 4.9152 8.0143 12.2421
angles (deg): 108.78 101.58 90.00
Last column: nearest neighbours and their distance in Å.
Atoms (fractional coordinates):
Tl (0.9557, 0.7686, 0.9114)  4 Se 2.70-2.86
Tl (0.0443, 0.2314, 0.0886)  4 Se 2.70-2.86
Tl (0.3066, 0.6233, 0.6133)  4 Se 2.77-2.92
Tl (0.6934, 0.3767, 0.3867)  4 Se 2.77-2.92
Se (0.7757, 0.7388, 0.5513)  3 Tl 2.81-2.92
Se (0.0740, 0.9296, 0.1481)  2 Tl 2.70-2.74
Se (0.4174, 0.5855, 0.8349)  3 Tl 2.77-2.86
Se (0.2243, 0.2612, 0.4487)  3 Tl 2.81-2.92
Se (0.9260, 0.0704, 0.8519)  2 Tl 2.70-2.74
Se (0.5826, 0.4145, 0.1651)  3 Tl 2.77-2.86
K (0.3502, 0.1454, 0.7004)  4 Se 3.23-3.44
K (0.6498, 0.8546, 0.2996)  4 Se 3.23-3.44


# 8
Entry from the Alexandria database: a relaxed structure of KTlSe2 (PBE).

- Symmetry: Fm-3m, No. 225
- E_form (uncorrected): -297 meV/atom

a b c (Å): 5.4724 5.4724 5.4724
angles (deg): 60.00 60.00 60.00
Last column: nearest neighbours and their distance in Å.
Atoms (fractional coordinates):
Se (0.7500, 0.7500, 0.7500)  4 Tl 3.35, 4 K 3.35
Se (0.2500, 0.2500, 0.2500)  4 Tl 3.35, 4 K 3.35
K (0.0000, 0.0000, 0.0000)  8 Se 3.35
Tl (0.5000, 0.5000, 0.5000)  8 Se 3.35